Entry from Alexandria via LeMat-Bulk: V4O7 after structural relaxation (GGA+U).

abc: 6.1131 6.1525 6.4301
angles: 69.59 86.78 83.14
Sites, in units of the cell vectors:
1 V 0.0852 0.2456 0.4850
2 V 0.1427 0.3214 0.9118
3 V 0.3644 0.8078 0.7033
4 V 0.3804 0.8056 0.2240
5 V 0.6196 0.1944 0.7760
6 V 0.6356 0.1922 0.2967
7 V 0.8573 0.6786 0.0882
8 V 0.9148 0.7544 0.5150
9 O 0.0513 0.6727 0.8410
10 O 0.1167 0.5916 0.3148
11 O 0.1674 0.0626 0.8369
12 O 0.1826 0.9226 0.4405
13 O 0.3957 0.4870 0.7533
14 O 0.4194 0.1879 0.5286
15 O 0.4281 0.1568 0.0920
16 O 0.5719 0.8432 0.9080
17 O 0.5806 0.8121 0.4714
18 O 0.6043 0.5130 0.2467
19 O 0.8174 0.0774 0.5595
20 O 0.8326 0.9374 0.1631
21 O 0.8833 0.4084 0.6852
22 O 0.9487 0.3273 0.1590

Output
total DFT energy (no corrections)	-84.696	eV/f.u.
space group	P-1, No. 2